(1)
## Li2ThTl (PBE)

Data for an optimized crystal structure of Li2ThTl.

Cell lengths 3.412, 3.412, 7.743 Å; angles 90.00, 90.00, 90.00 degrees
Space group P4/mmm (No. 123)
Symmetry-distinct sites (fractional):
Li: 0.000 0.000 0.205
Th: 0.500 0.500 0.500
Tl: 0.500 0.500 0.000

***

(2)
## LiThTl (PBE)

Data for an optimized crystal structure of LiThTl.

Cell lengths 3.456, 3.456, 12.391 Å; angles 90.00, 90.00, 90.00 degrees
Space group I4mm (No. 107)
Symmetry-distinct sites (fractional):
Li: 0.000 0.000 0.000
Th: 0.000 0.000 0.313
Tl: 0.000 0.000 0.614

For the energy above the lowest structure with this stoichiometry, the calculation gives 0.0687 eV per atom.

***

(3)
## LiTh5Tl5 (PBE)

Data for an optimized crystal structure of LiTh5Tl5.

Cell lengths 17.837, 5.625, 7.175 Å; angles 90.00, 113.66, 90.00 degrees
Space group C2/m (No. 12)
Symmetry-distinct sites (fractional):
Li: 0.000 0.000 0.000
Th: 0.000 0.000 0.500
Th: 0.139 0.500 0.639
Th: 0.199 0.500 0.199
Tl: 0.000 0.500 0.000
Tl: 0.151 0.000 0.367
Tl: 0.151 0.000 0.935

***

Energy of formation per entry: 0.0061 -0.0321 0.0669 eV per atom
Size of the total moment per entry: 0.0 0.0 0.0 μB per cell
Total energy per entry: -3.397 -3.932 -4.555 eV per atom